Below is SrZnCoP2O8 after structural relaxation, with properties calculated at the GGA-PBEsol level.

Computed properties:
* V: 302.4 Å³ per cell
* VASP energy: -7.11 eV/atom

The structure in CIF format:
```
data_SrZnCoP2O8
_symmetry_space_group_name_H-M 'P -1'
_symmetry_Int_Tables_number 2
_cell_length_a 5.448
_cell_length_b 6.699
_cell_length_c 9.272
_cell_angle_alpha 110.01
_cell_angle_beta 103.00
_cell_angle_gamma 97.02
loop_
_symmetry_equiv_pos_as_xyz
'x,y,z'
'-x,-y,-z'
loop_
_atom_site_label
_atom_site_type_symbol
_atom_site_fract_x
_atom_site_fract_y
_atom_site_fract_z
Sr1 Sr 0.244 0.206 0.445
Zn1 Zn 0.496 0.397 0.142
Co1 Co 0.114 0.873 0.053
P1 P 0.104 0.581 0.262
P2 P 0.356 0.022 0.798
O1 O 0.126 0.408 0.103
O2 O 0.131 0.939 0.857
O3 O 0.150 0.807 0.254
O4 O 0.164 0.472 0.711
O5 O 0.249 0.002 0.626
O6 O 0.314 0.565 0.397
O7 O 0.439 0.123 0.195
O8 O 0.495 0.743 0.082
```

=====

Below is TaCoP2O after structural relaxation, with properties calculated at the GGA-PBEsol level.

Computed properties:
* V: 89.2 Å³ per cell
* VASP energy: -7.35 eV/atom

The structure in CIF format:
```
data_TaCoP2O
_symmetry_space_group_name_H-M 'P 4/m m m'
_symmetry_Int_Tables_number 123
_symmetry_space_group_name_Hall '-P 4 2'
_cell_length_a 4.861
_cell_length_b 4.861
_cell_length_c 3.774
_cell_angle_alpha 90.00
_cell_angle_beta 90.00
_cell_angle_gamma 90.00
loop_
_atom_site_label
_atom_site_type_symbol
_atom_site_fract_x
_atom_site_fract_y
_atom_site_fract_z
Ta1 Ta 0.000 0.000 0.000
Co1 Co 0.500 0.500 0.500
P1 P 0.000 0.500 0.000
O1 O 0.000 0.000 0.500
```

=====

Below is TaCoP2O after structural relaxation, with properties calculated at the GGA-PBEsol level.

Computed properties:
* V: 68.0 Å³ per cell
* VASP energy: -7.41 eV/atom

The structure in CIF format:
```
data_TaCoP2O
_symmetry_space_group_name_H-M 'P 4/m m m'
_symmetry_Int_Tables_number 123
_symmetry_space_group_name_Hall '-P 4 2'
_cell_length_a 4.533
_cell_length_b 4.533
_cell_length_c 3.311
_cell_angle_alpha 90.00
_cell_angle_beta 90.00
_cell_angle_gamma 90.00
loop_
_atom_site_label
_atom_site_type_symbol
_atom_site_fract_x
_atom_site_fract_y
_atom_site_fract_z
Ta1 Ta 0.000 0.000 0.000
Co1 Co 0.500 0.500 0.500
P1 P 0.000 0.500 0.500
O1 O 0.500 0.500 0.000
```

=====

Below is Ti3VCo2P6O24 after structural relaxation, with properties calculated at the GGA-PBEsol level.

Computed properties:
* V: 1291.7 Å³ per cell
* VASP energy: -8.13 eV/atom

The structure in CIF format:
```
data_Ti3VCo2P6O24
_symmetry_space_group_name_H-M 'R 3'
_symmetry_Int_Tables_number 146
_symmetry_space_group_name_Hall 'R 3'
_cell_length_a 8.5830
_cell_length_b 8.5830
_cell_length_c 20.2458
_cell_angle_alpha 90.00
_cell_angle_beta 90.00
_cell_angle_gamma 120.00
loop_
_atom_site_label
_atom_site_type_symbol
_atom_site_fract_x
_atom_site_fract_y
_atom_site_fract_z
Ti1 Ti 0.0000 0.0000 0.0000
Ti2 Ti 0.0000 0.0000 0.2217
Ti3 Ti 0.0000 0.0000 0.7207
V1 V 0.0000 0.0000 0.4987
Co1 Co 0.0000 0.0000 0.3570
Co2 Co 0.0000 0.0000 0.8608
P1 P 0.0017 0.2898 0.6091
P2 P 0.0019 0.7089 0.1105
O1 O 0.0089 0.8153 0.1723
O2 O 0.0102 0.1924 0.6714
O3 O 0.0190 0.8332 0.7853
O4 O 0.0218 0.1886 0.2847
O5 O 0.1446 0.4736 0.2136
O6 O 0.1499 0.6763 0.7156
O7 O 0.1678 0.4816 0.6025
O8 O 0.1695 0.6884 0.1009
```

=====

Below is Ti3Co2P6WO24 after structural relaxation, with properties calculated at the GGA-PBEsol level.

Computed properties:
* V: 1318.4 Å³ per cell
* VASP energy: -8.17 eV/atom

The structure in CIF format:
```
data_Ti3Co2P6WO24
_symmetry_space_group_name_H-M 'R 3'
_symmetry_Int_Tables_number 146
_symmetry_space_group_name_Hall 'R 3'
_cell_length_a 8.6592
_cell_length_b 8.6592
_cell_length_c 20.3027
_cell_angle_alpha 90.00
_cell_angle_beta 90.00
_cell_angle_gamma 120.00
loop_
_atom_site_label
_atom_site_type_symbol
_atom_site_fract_x
_atom_site_fract_y
_atom_site_fract_z
Ti1 Ti 0.0000 0.0000 0.0000
Ti2 Ti 0.0000 0.0000 0.2236
Ti3 Ti 0.0000 0.0000 0.5014
Co1 Co 0.0000 0.0000 0.3599
Co2 Co 0.0000 0.0000 0.8690
P1 P 0.0051 0.2909 0.1119
P2 P 0.0433 0.6686 0.2787
W1 W 0.0000 0.0000 0.7259
O1 O 0.0024 0.8081 0.6751
O2 O 0.0121 0.1938 0.1735
O3 O 0.0194 0.8333 0.2861
O4 O 0.0200 0.1908 0.7882
O5 O 0.1480 0.4736 0.7165
O6 O 0.1501 0.6748 0.2180
O7 O 0.1653 0.6882 0.6051
O8 O 0.1694 0.4796 0.1037
```

=====

Below is V5CoP6O24 after structural relaxation, with properties calculated at the GGA-PBEsol level.

Computed properties:
* V: 1256.4 Å³ per cell
* VASP energy: -8.14 eV/atom

The structure in CIF format:
```
data_V5CoP6O24
_symmetry_space_group_name_H-M 'R 3'
_symmetry_Int_Tables_number 146
_symmetry_space_group_name_Hall 'R 3'
_cell_length_a 8.5465
_cell_length_b 8.5465
_cell_length_c 19.8624
_cell_angle_alpha 90.00
_cell_angle_beta 90.00
_cell_angle_gamma 120.00
loop_
_atom_site_label
_atom_site_type_symbol
_atom_site_fract_x
_atom_site_fract_y
_atom_site_fract_z
V1 V 0.0000 0.0000 0.0000
V2 V 0.0000 0.0000 0.1394
V3 V 0.0000 0.0000 0.4978
V4 V 0.0000 0.0000 0.6387
V5 V 0.0000 0.0000 0.7791
Co1 Co 0.0000 0.0000 0.2771
P1 P 0.0419 0.6673 0.0534
P2 P 0.0430 0.3747 0.5548
O1 O 0.0048 0.1935 0.9515
O2 O 0.0093 0.8144 0.4498
O3 O 0.0138 0.1796 0.5658
O4 O 0.0143 0.8341 0.0671
O5 O 0.1361 0.6766 0.9888
O6 O 0.1586 0.4673 0.4930
O7 O 0.1643 0.4772 0.8734
O8 O 0.1651 0.6758 0.3790
```